Compound: Cu8Ni2Rh
Source: the Alexandria database
Functional: PBE
Structure: relaxed

Properties
E above lowest polymorph	0.039	eV per atom
VASP energy	-4.5025	eV/atom
total moment	0.00	Bohr magnetons per cell
calculated formation energy	196	meV per atom

abc: 4.378 6.624 7.106
angles: 62.22 72.11 48.78
Fractional positions:
Rh  0.500  0.000  0.000
Ni  0.000  0.317  0.366
Ni  0.000  0.683  0.634
Cu  0.236  0.900  0.729
Cu  0.764  0.372  0.729
Cu  0.755  0.500  0.000
Cu  0.245  0.500  0.000
Cu  0.764  0.100  0.271
Cu  0.500  0.200  0.600
Cu  0.236  0.628  0.271
Cu  0.500  0.800  0.400

Compound: Y4PtSeS2
Source: the Alexandria database
Functional: PBE
Structure: relaxed

Properties
VASP energy	-7.1773	eV/atom
total moment	0.00	Bohr magnetons per cell
uncorrected formation energy	-1.7227	eV per atom

abc: 3.951 7.023 7.008
angles: 71.13 90.00 90.00
Fractional positions:
Y  0.000  0.248  0.243
Y  0.000  0.752  0.757
Y  0.500  0.239  0.759
Y  0.500  0.761  0.241
S  0.000  0.000  0.000
S  0.500  0.000  0.500
Pt  0.500  0.500  0.000
Se  0.000  0.500  0.500